1.
Density functional theory data (PBE) for MgBeTc2 after structural relaxation.

## Properties
DOS at the Fermi energy   0.73 states/eV/atom
Final energy   -25.279 eV/cell
Relative energy among the computed polymorphs   0.213 eV/atom
Calculated formation energy   0.1934 eV/atom

POSCAR file:
```
MgBeTc2
1.0
-0.2671 0.1259 -2.6181
0.4862 -2.5836 -0.1738
-7.7617 -1.5091 0.7194
Tc Be Mg
2 1 1
Direct
0.0000 0.0000 0.4630 Tc
0.0000 0.0000 0.0370 Tc
0.5000 0.5000 0.2500 Be
0.5000 0.5000 0.7500 Mg
```

2.
Density functional theory data (PBE) for MgBe2Tc after structural relaxation.

## Properties
DOS at the Fermi energy   0.44 states/eV/atom
Final energy   -18.712 eV/cell
Relative energy among the computed polymorphs   0.139 eV/atom
Calculated formation energy   0.1753 eV/atom

POSCAR file:
```
MgBe2Tc
1.0
-2.2662 -0.8751 -0.9705
0.0863 -2.3018 1.8741
-3.2116 3.4514 4.3871
Be Tc Mg
2 1 1
Direct
0.5000 0.5000 0.1836 Be
0.0000 0.0000 0.0337 Be
0.5000 0.5000 0.8047 Tc
0.0000 0.0000 0.4780 Mg
```

3.
Density functional theory data (PBE) for Mg2BeTc after structural relaxation.

## Properties
DOS at the Fermi energy   0.58 states/eV/atom
Final energy   -16.385 eV/cell
Relative energy among the computed polymorphs   0.079 eV/atom
Calculated formation energy   0.2240 eV/atom

POSCAR file:
```
Mg2BeTc
1.0
-3.8091 -2.2360 3.0980
-2.0764 -4.4217 2.2900
1.1259 -0.7358 4.4053
Be Mg Tc
1 2 1
Direct
0.2296 0.2296 0.2828 Be
0.7623 0.7623 0.7443 Mg
0.9755 0.9755 0.0164 Mg
0.5326 0.5326 0.4565 Tc
```

4.
Density functional theory data (PBE) for MgBeTc2 after structural relaxation.

## Properties
DOS at the Fermi energy   0.26 states/eV/atom
Final energy   -25.962 eV/cell
Relative energy among the computed polymorphs   0.042 eV/atom
Calculated formation energy   0.0226 eV/atom

POSCAR file:
```
MgBeTc2
1.0
-0.7385 -2.4789 3.3852
3.5132 1.5442 1.8496
-3.0158 2.6641 -1.3685
Mg Tc Be
1 2 1
Direct
0.2499 0.7500 0.5000 Mg
0.0006 0.9992 0.0000 Tc
0.7494 0.2507 0.5000 Tc
0.5001 0.5000 0.0000 Be
```